--- A ---
{"formula": "AlCdTc2", "functional": "GGA-PBE", "state": "optimized geometry", "rho_g_cm3": 8.731, "cell": [[2.783, -4.191, 0.000], [2.783, 4.191, 0.000], [0.000, 0.000, 2.735]], "species": ["Al", "Cd", "Tc", "Tc"], "frac_coords": [[0.000, 0.000, 0.000], [0.500, 0.500, 0.000], [0.000, 0.500, 0.500], [0.500, 0.000, 0.500]]}

=====

--- B ---
{"formula": "AlCdTc2", "functional": "GGA-PBE", "state": "optimized geometry", "rho_g_cm3": 8.743, "cell": [[-1.940, 1.940, 4.230], [1.940, -1.940, 4.230], [1.940, 1.940, -4.230]], "species": ["Al", "Cd", "Tc", "Tc"], "frac_coords": [[0.000, 0.000, 0.000], [0.500, 0.500, 0.000], [0.250, 0.750, 0.500], [0.750, 0.250, 0.500]]}

=====

Question: which arrangement is favored energetically? Ranking from most to least stable: A, B.